Here is a geometry-optimized CaCd2W structure from the Alexandria database. Energies are from GGA-PBE.

a b c (Å): 3.4924 3.4924 7.2103
angles (deg): 90.00 90.00 90.00
Each line ends with the local moment (μB).
Positions (direct):
1 W 0.5000 0.5000 0.2500  1.02
2 Cd 0.0000 0.0000 0.4648  0.02
3 Cd 0.0000 0.0000 0.0352  0.02
4 Ca 0.5000 0.5000 0.7500  0.03

Output
- DFT formation energy (eV/atom) = 0.55
- E above lowest polymorph (meV/atom) = 139


Here is a geometry-optimized SiSe3F structure from the Alexandria database. Energies are from GGA-PBE.

a b c (Å): 4.6553 4.6553 4.6553
angles (deg): 90.00 90.00 90.00
Positions (direct):
1 Se 0.0000 0.0000 0.5000
2 Se 0.0000 0.5000 0.0000
3 Se 0.5000 0.0000 0.0000
4 F 0.0000 0.0000 0.0000
5 Si 0.5000 0.5000 0.5000

Output
- E above lowest polymorph (meV/atom) = 291
- formation energy without anion corrections (eV/atom) = 0.557


Here is a geometry-optimized La3PmGe2N structure from the Alexandria database. Energies are from GGA-PBE.

a b c (Å): 4.8582 4.8756 8.7401
angles (deg): 106.20 106.14 90.00
Positions (direct):
1 N 0.0000 0.0000 0.0000
2 La 0.8291 0.8291 0.6581
3 Ge 0.3644 0.3644 0.7288
4 Ge 0.6356 0.6356 0.2712
5 La 0.0000 0.5000 0.0000
6 La 0.1709 0.1709 0.3419
7 Pm 0.5000 0.0000 0.0000

Output
- formation energy without anion corrections (eV/atom) = -0.902


Here is a geometry-optimized Hf2ZnH structure from the Alexandria database. Energies are from GGA-PBE.

a b c (Å): 3.1776 3.1776 7.4030
angles (deg): 77.61 77.61 60.00
Positions (direct):
1 Zn 0.5006 0.5006 0.4982
2 Hf 0.0603 0.0603 0.8191
3 H 0.6655 0.6655 0.0035
4 Hf 0.2736 0.2736 0.1792

Output
- E above lowest polymorph (meV/atom) = 95


Here is a geometry-optimized AlBO2F structure from the Alexandria database. Energies are from GGA-PBE.

a b c (Å): 3.7205 3.7205 3.5678
angles (deg): 90.00 90.00 90.00
Positions (direct):
1 B 0.5000 0.5000 0.5000
2 O 0.0000 0.5000 0.0000
3 F 0.0000 0.0000 0.5000
4 O 0.5000 0.0000 0.0000
5 Al 0.0000 0.0000 0.0000

Output
- formation energy without anion corrections (eV/atom) = -0.922


Here is a geometry-optimized V5Ag structure from the Alexandria database. Energies are from GGA-PBE.

a b c (Å): 3.0482 4.4889 6.6051
angles (deg): 109.86 90.00 90.00
Positions (direct):
1 V 0.5000 0.8167 0.6334
2 V 0.5000 0.5000 0.0000
3 V 0.0000 0.6645 0.3290
4 V 0.5000 0.1833 0.3666
5 Ag 0.0000 0.0000 0.0000
6 V 0.0000 0.3355 0.6710

Output
- DFT formation energy (eV/atom) = 0.17


Here is a geometry-optimized TcNiOs4 structure from the Alexandria database. Energies are from GGA-PBE.

a b c (Å): 5.0715 5.0715 5.0715
angles (deg): 60.00 60.00 60.00
Positions (direct):
1 Os 0.1238 0.6254 0.6254
2 Ni 0.0000 0.0000 0.0000
3 Os 0.6254 0.6254 0.1238
4 Os 0.6254 0.6254 0.6254
5 Tc 0.2500 0.2500 0.2500
6 Os 0.6254 0.1238 0.6254

Output
- DFT formation energy (eV/atom) = 0.75


Here is a geometry-optimized HfSc2O5 structure from the Alexandria database. Energies are from GGA-PBE.

a b c (Å): 3.5143 7.4816 15.1058
angles (deg): 90.00 90.00 90.00
Positions (direct):
1 Sc 0.2500 0.5839 0.5895
2 O 0.2500 0.3706 0.3121
3 Sc 0.7500 0.8865 0.7417
4 O 0.7500 0.0491 0.3333
5 O 0.2500 0.8763 0.0119
6 O 0.2500 0.3378 0.6635
7 Sc 0.7500 0.3865 0.7583
8 O 0.7500 0.6294 0.6879
9 Sc 0.7500 0.4161 0.4105
10 O 0.2500 0.9509 0.6667
11 O 0.2500 0.8378 0.8365
12 O 0.7500 0.6622 0.3365
13 O 0.2500 0.8706 0.1879
14 O 0.2500 0.3841 0.0140
15 Hf 0.7500 0.8587 0.4296
16 Sc 0.2500 0.0839 0.9105
17 Sc 0.2500 0.1135 0.2583
18 O 0.2500 0.4509 0.8333
19 Hf 0.7500 0.3587 0.0704
20 O 0.7500 0.6159 0.9860
21 Sc 0.2500 0.6135 0.2417
22 Hf 0.2500 0.6413 0.9296
23 Hf 0.2500 0.1413 0.5704
24 O 0.7500 0.5491 0.1667
25 O 0.7500 0.1237 0.9881
26 O 0.7500 0.1622 0.1635
27 O 0.7500 0.6237 0.5119
28 O 0.2500 0.3763 0.4881
29 O 0.2500 0.8841 0.4860
30 O 0.7500 0.1294 0.8121
31 O 0.7500 0.1159 0.5140
32 Sc 0.7500 0.9161 0.0895

Output
- formation energy without anion corrections (eV/atom) = -3.431


Here is a geometry-optimized Tb2HoTl2 structure from the Alexandria database. Energies are from GGA-PBE.

a b c (Å): 3.7609 5.3768 14.1737
angles (deg): 90.00 97.65 90.00
Positions (direct):
1 Tl 0.5503 0.2500 0.0998
2 Tb 0.7618 0.2500 0.5244
3 Tl 0.3562 0.2500 0.7108
4 Tb 0.0492 0.7500 0.0978
5 Tb 0.9508 0.2500 0.9022
6 Tb 0.2382 0.7500 0.4756
7 Ho 0.1489 0.2500 0.2997
8 Tl 0.4497 0.7500 0.9002
9 Ho 0.8511 0.7500 0.7003
10 Tl 0.6438 0.7500 0.2892

Output
- DFT formation energy (eV/atom) = -0.28
- E above lowest polymorph (meV/atom) = 0


Here is a geometry-optimized Tb6PmNdHo2 structure from the Alexandria database. Energies are from GGA-PBE.

a b c (Å): 9.6086 8.8106 8.8106
angles (deg): 117.44 93.83 93.83
Positions (direct):
1 Tb 0.9434 0.8826 0.2480
2 Ho 0.5462 0.1959 0.2980
3 Tb 0.1812 0.5678 0.0220
4 Tb 0.3805 0.5100 0.2936
5 Nd 0.7500 0.5930 0.4070
6 Tb 0.1195 0.7064 0.4900
7 Tb 0.5566 0.7520 0.1174
8 Tb 0.0566 0.1174 0.7520
9 Ho 0.4538 0.8041 0.7020
10 Nd 0.2500 0.4070 0.5930
11 Ho 0.0462 0.2980 0.1959
12 Ho 0.9538 0.7020 0.8041
13 Tb 0.4434 0.2480 0.8826
14 Pm 0.2500 0.9725 0.0275
15 Tb 0.3188 0.9780 0.4322
16 Tb 0.6195 0.4900 0.7064
17 Tb 0.8805 0.2936 0.5100
18 Pm 0.7500 0.0275 0.9725
19 Tb 0.6812 0.0220 0.5678
20 Tb 0.8188 0.4322 0.9780

Output
- DFT formation energy (eV/atom) = 0.12


Here is a geometry-optimized Nd4Ge8Rh structure from the Alexandria database. Energies are from GGA-PBE.

a b c (Å): 4.1059 4.2514 16.7935
angles (deg): 90.00 90.00 90.00
Positions (direct):
1 Ge 0.0000 0.5000 0.2373
2 Nd 0.5000 0.0000 0.8950
3 Ge 0.5000 0.5000 0.0454
4 Nd 0.0000 0.0000 0.1024
5 Ge 0.0000 0.5000 0.9481
6 Ge 0.0000 0.0000 0.4605
7 Nd 0.0000 0.5000 0.6080
8 Ge 0.5000 0.5000 0.7542
9 Ge 0.0000 0.0000 0.7488
10 Ge 0.5000 0.0000 0.5555
11 Ge 0.5000 0.0000 0.2359
12 Rh 0.0000 0.0000 0.3139
13 Nd 0.5000 0.5000 0.3981

Output
- DFT formation energy (eV/atom) = -0.66


Here is a geometry-optimized BaCaCd2 structure from the Alexandria database. Energies are from GGA-PBE.

a b c (Å): 5.6726 7.0666 7.0666
angles (deg): 108.96 90.00 90.00
Positions (direct):
1 Cd 0.2500 0.3967 0.1535
2 Cd 0.7500 0.1535 0.3967
3 Ba 0.2500 0.8769 0.1231
4 Ca 0.7500 0.6247 0.3753
5 Ca 0.2500 0.3753 0.6247
6 Cd 0.2500 0.8465 0.6033
7 Cd 0.7500 0.6033 0.8465
8 Ba 0.7500 0.1231 0.8769

Output
- DFT formation energy (eV/atom) = -0.31